Cs3In5Cl12 | PBE | optimized geometry

Unit cell a=15.9776 b=15.9776 c=15.9776 alpha=109.47 beta=109.47 gamma=109.47
Last column: nearest neighbours and their distance in Å.
Atoms (fractional coordinates):
Cs  0.1250  0.2500  0.3750  8 Cl 3.61-3.75
Cs  0.1250  0.3750  0.7500  8 Cl 3.61-3.75
Cs  0.2500  0.3750  0.1250  8 Cl 3.61-3.75
Cs  0.2500  0.8750  0.6250  8 Cl 3.61-3.75
Cs  0.3750  0.1250  0.2500  8 Cl 3.61-3.75
Cs  0.3750  0.7500  0.1250  8 Cl 3.61-3.75
Cs  0.6250  0.2500  0.8750  8 Cl 3.61-3.75
Cs  0.6250  0.8750  0.7500  8 Cl 3.61-3.75
Cs  0.7500  0.1250  0.3750  8 Cl 3.61-3.75
Cs  0.7500  0.6250  0.8750  8 Cl 3.61-3.75
Cs  0.8750  0.6250  0.2500  8 Cl 3.61-3.75
Cs  0.8750  0.7500  0.6250  8 Cl 3.61-3.75
In  0.0000  0.0000  0.0000  6 Cl 3.12
In  0.0000  0.0000  0.5000  6 Cl 3.12
In  0.0000  0.5000  0.0000  6 Cl 3.12
In  0.0000  0.5000  0.5000  6 Cl 3.12
In  0.1250  0.7500  0.8750  4 Cl 2.55
In  0.1250  0.8750  0.2500  4 Cl 2.55
In  0.2500  0.1250  0.8750  4 Cl 2.55
In  0.2500  0.6250  0.3750  4 Cl 2.55
In  0.3750  0.2500  0.6250  4 Cl 2.55
In  0.3750  0.6250  0.7500  4 Cl 2.55
In  0.5000  0.0000  0.0000  6 Cl 3.12
In  0.5000  0.0000  0.5000  6 Cl 3.12
In  0.5000  0.5000  0.0000  6 Cl 3.12
In  0.5000  0.5000  0.5000  6 Cl 3.12
In  0.6250  0.3750  0.2500  4 Cl 2.55
In  0.6250  0.7500  0.3750  4 Cl 2.55
In  0.7500  0.3750  0.6250  4 Cl 2.55
In  0.7500  0.8750  0.1250  4 Cl 2.55
In  0.8750  0.1250  0.7500  4 Cl 2.55
In  0.8750  0.2500  0.1250  4 Cl 2.55
Cl  0.0147  0.2090  0.1176  1 In 2.55
Cl  0.0147  0.3057  0.8971  1 In 2.55
Cl  0.0914  0.7090  0.6943  1 In 2.55
Cl  0.0914  0.8824  0.3971  1 In 2.55
Cl  0.1029  0.6176  0.4086  1 In 2.55
Cl  0.1029  0.9853  0.6943  1 In 2.55
Cl  0.1176  0.0147  0.2090  1 In 2.55
Cl  0.1176  0.6029  0.9086  1 In 2.55
Cl  0.1943  0.2090  0.5914  1 In 2.55
Cl  0.1943  0.4853  0.6029  1 In 2.55
Cl  0.2090  0.1176  0.0147  1 In 2.55
Cl  0.2090  0.5914  0.1943  1 In 2.55
Cl  0.2910  0.3057  0.9086  1 In 2.55
Cl  0.2910  0.4853  0.3824  1 In 2.55
Cl  0.3057  0.8971  0.0147  1 In 2.55
Cl  0.3057  0.9086  0.2910  1 In 2.55
Cl  0.3824  0.2910  0.4853  1 In 2.55
Cl  0.3824  0.5914  0.8971  1 In 2.55
Cl  0.3971  0.0914  0.8824  1 In 2.55
Cl  0.3971  0.8057  0.5147  1 In 2.55
Cl  0.4086  0.1029  0.6176  1 In 2.55
Cl  0.4086  0.8057  0.7910  1 In 2.55
Cl  0.4853  0.3824  0.2910  1 In 2.55
Cl  0.4853  0.6029  0.1943  1 In 2.55
Cl  0.5147  0.3971  0.8057  1 In 2.55
Cl  0.5147  0.6176  0.7090  1 In 2.55
Cl  0.5914  0.1943  0.2090  1 In 2.55
Cl  0.5914  0.8971  0.3824  1 In 2.55
Cl  0.6029  0.1943  0.4853  1 In 2.55
Cl  0.6029  0.9086  0.1176  1 In 2.55
Cl  0.6176  0.4086  0.1029  1 In 2.55
Cl  0.6176  0.7090  0.5147  1 In 2.55
Cl  0.6943  0.0914  0.7090  1 In 2.55
Cl  0.6943  0.1029  0.9853  1 In 2.55
Cl  0.7090  0.5147  0.6176  1 In 2.55
Cl  0.7090  0.6943  0.0914  1 In 2.55
Cl  0.7910  0.4086  0.8057  1 In 2.55
Cl  0.7910  0.8824  0.9853  1 In 2.55
Cl  0.8057  0.5147  0.3971  1 In 2.55
Cl  0.8057  0.7910  0.4086  1 In 2.55
Cl  0.8824  0.3971  0.0914  1 In 2.55
Cl  0.8824  0.9853  0.7910  1 In 2.55
Cl  0.8971  0.0147  0.3057  1 In 2.55
Cl  0.8971  0.3824  0.5914  1 In 2.55
Cl  0.9086  0.1176  0.6029  1 In 2.55
Cl  0.9086  0.2910  0.3057  1 In 2.55
Cl  0.9853  0.6943  0.1029  1 In 2.55
Cl  0.9853  0.7910  0.8824  1 In 2.55

Values from the calculation:
The calculation puts the formation energy (no corrections) at -1235 meV per atom.


CsInCl2 | PBE | optimized geometry

Unit cell a=5.7148 b=5.7148 c=5.7148 alpha=60.00 beta=60.00 gamma=60.00
Last column: nearest neighbours and their distance in Å.
Atoms (fractional coordinates):
Cs  0.0000  0.0000  0.0000  8 Cl 3.50
In  0.5000  0.5000  0.5000  8 Cl 3.50
Cl  0.2500  0.2500  0.2500  4 In 3.50, 4 Cs 3.50
Cl  0.7500  0.7500  0.7500  4 In 3.50, 4 Cs 3.50

Values from the calculation:
The calculation puts the formation energy (no corrections) at -1308 meV per atom. The value obtained for the offset from the most stable computed form is 80.6 meV per atom.


CsInCl2 | PBE | optimized geometry

Unit cell a=8.3491 b=8.3491 c=7.0749 alpha=114.99 beta=114.99 gamma=47.13
Last column: nearest neighbours and their distance in Å.
Atoms (fractional coordinates):
Cs  0.1177  0.1177  0.3697  6 Cl 3.44-3.57
Cs  0.8823  0.8823  0.6303  6 Cl 3.44-3.57
In  0.3643  0.3643  0.1147  2 Cl 2.76-2.98
In  0.6357  0.6357  0.8853  2 Cl 2.76-2.98
Cl  0.1452  0.1452  0.8963  1 In 2.98
Cl  0.3664  0.3664  0.7262  1 In 2.76
Cl  0.6336  0.6336  0.2738  1 In 2.76
Cl  0.8548  0.8548  0.1037  1 In 2.98

Values from the calculation:
The calculation puts the formation energy (no corrections) at -1389 meV per atom. The value obtained for the offset from the most stable computed form is 0.0 meV per atom.


CsIn3Cl | PBE | optimized geometry

Unit cell a=6.8961 b=6.8961 c=6.8961 alpha=90.00 beta=90.00 gamma=90.00
Last column: nearest neighbours and their distance in Å.
Atoms (fractional coordinates):
Cs  0.0000  0.0000  0.0000  6 In 3.45
In  0.0000  0.0000  0.5000  2 Cs 3.45
In  0.0000  0.5000  0.0000  2 Cs 3.45
In  0.5000  0.0000  0.0000  2 Cs 3.45
Cl  0.5000  0.5000  0.5000  12 In 4.88

Values from the calculation:
The calculation puts the formation energy (no corrections) at 707 meV per atom. The value obtained for the offset from the most stable computed form is 786.6 meV per atom.


CsIn5Cl6 | PBE | optimized geometry

Unit cell a=7.9892 b=7.9892 c=8.0461 alpha=99.40 beta=99.40 gamma=118.92
Last column: nearest neighbours and their distance in Å.
Atoms (fractional coordinates):
Cs  0.0000  0.0000  0.0000  6 Cl 3.40-3.51
In  0.1705  0.8295  0.5000  4 Cl 3.02-3.29
In  0.3353  0.6647  0.0000  6 Cl 3.05-3.38
In  0.5000  0.5000  0.5000  6 Cl 3.20-3.23
In  0.6647  0.3353  0.0000  6 Cl 3.05-3.38
In  0.8295  0.1705  0.5000  4 Cl 3.02-3.29
Cl  0.0959  0.4462  0.2723  5 In 3.02-3.38
Cl  0.2911  0.2911  0.7756  3 In 3.05-3.20, 1 Cs 3.40
Cl  0.4462  0.0959  0.2723  5 In 3.02-3.38
Cl  0.5538  0.9041  0.7277  5 In 3.02-3.38
Cl  0.7089  0.7089  0.2244  3 In 3.05-3.20, 1 Cs 3.40
Cl  0.9041  0.5538  0.7277  5 In 3.02-3.38

Values from the calculation:
The calculation puts the formation energy (no corrections) at -987 meV per atom.


Cs2InCl6 | PBE | optimized geometry

Unit cell a=8.7814 b=8.7814 c=6.2139 alpha=110.47 beta=110.47 gamma=50.46
Last column: nearest neighbours and their distance in Å.
Atoms (fractional coordinates):
Cs  0.1680  0.1680  0.1657  8 Cl 3.49-3.76
Cs  0.8320  0.8320  0.8343  8 Cl 3.49-3.76
In  0.5000  0.5000  0.5000  4 Cl 2.49
Cl  0.1466  0.6092  0.3796  1 In 2.49
Cl  0.3307  0.6693  0.0000  1 Cl 2.54
Cl  0.3908  0.8534  0.6204  1 In 2.49
Cl  0.6092  0.1466  0.3796  1 In 2.49
Cl  0.6693  0.3307  0.0000  1 Cl 2.54
Cl  0.8534  0.3908  0.6204  1 In 2.49

Values from the calculation:
The calculation puts the formation energy (no corrections) at -1264 meV per atom.


CsInCl4 | PBE | optimized geometry

Unit cell a=10.2044 b=10.2044 c=7.5492 alpha=90.00 beta=90.00 gamma=150.05
Last column: nearest neighbours and their distance in Å.
Atoms (fractional coordinates):
Cs  0.1151  0.8849  0.7500  7 Cl 3.52-3.86
Cs  0.8849  0.1151  0.2500  7 Cl 3.52-3.86
In  0.4021  0.5979  0.7500  6 Cl 2.42-2.70
In  0.5979  0.4021  0.2500  6 Cl 2.42-2.70
Cl  0.0752  0.9248  0.2500  2 In 2.67
Cl  0.3208  0.6792  0.5103  1 In 2.42
Cl  0.3208  0.6792  0.9897  1 In 2.42
Cl  0.5000  0.5000  0.0000  2 In 2.70
Cl  0.5000  0.5000  0.5000  2 In 2.70
Cl  0.6792  0.3208  0.0103  1 In 2.42
Cl  0.6792  0.3208  0.4897  1 In 2.42
Cl  0.9248  0.0752  0.7500  2 In 2.67

Values from the calculation:
The calculation puts the formation energy (no corrections) at -1390 meV per atom.


CsInCl2 | PBE | optimized geometry

Unit cell a=5.7233 b=5.7233 c=4.0186 alpha=90.00 beta=90.00 gamma=90.00
Last column: nearest neighbours and their distance in Å.
Atoms (fractional coordinates):
Cs  0.0000  0.0000  0.0000  8 Cl 3.50
In  0.5000  0.5000  0.0000  8 Cl 3.50
Cl  0.0000  0.5000  0.5000  4 In 3.50, 4 Cs 3.50
Cl  0.5000  0.0000  0.5000  4 In 3.50, 4 Cs 3.50

Values from the calculation:
The calculation puts the formation energy (no corrections) at -1311 meV per atom. The value obtained for the offset from the most stable computed form is 78.1 meV per atom.